Sm3ErTm2S6 | GGA-PBE | optimized geometry

Computed properties:
Formation energy from raw total energies, eV/atom: -1.990
Raw total energy, eV per formula unit: -76.304

abc: 6.7485 11.7308 6.8836
angles: 90.00 109.14 90.00
Space group C2/m (No. 12)
One atom of each set of equivalent atoms:
Sm 0.0000 0.0000 0.0000 (multiplicity 2)
Sm 0.0000 0.3339 0.0000 (multiplicity 4)
Er 0.0000 0.5000 0.5000 (multiplicity 2)
Tm 0.0000 0.1666 0.5000 (multiplicity 4)
S 0.2433 0.0000 0.7342 (multiplicity 4)
S 0.2454 0.3327 0.7346 (multiplicity 8)

Ac12Ir5N | GGA-PBE | optimized geometry

Computed properties:
Formation energy from raw total energies, eV/atom: -0.585
Raw total energy, eV per formula unit: -112.468

abc: 7.4693 12.9616 14.0892
angles: 90.00 100.02 90.00
Space group C2/m (No. 12)
One atom of each set of equivalent atoms:
Ac 0.1211 0.1572 0.3902 (multiplicity 8)
Ac 0.1522 0.5000 0.3909 (multiplicity 4)
Ac 0.2015 0.0000 0.1162 (multiplicity 4)
Ac 0.2059 0.3349 0.1153 (multiplicity 8)
Ir 0.0000 0.1671 0.0000 (multiplicity 4)
Ir 0.0000 0.3332 0.5000 (multiplicity 4)
Ir 0.0000 0.5000 0.0000 (multiplicity 2)
N 0.0000 0.0000 0.5000 (multiplicity 2)

Ho3As2PRh9 | GGA-PBE | optimized geometry

Computed properties:
Calculated formation energy, eV per atom: -0.55
Raw total energy, eV per formula unit: -102.848

abc: 6.6064 6.6064 7.4666
angles: 90.00 90.00 120.00
Space group P-3m1 (No. 164)
One atom of each set of equivalent atoms:
Ho 0.0000 0.0000 0.0000 (multiplicity 1)
Ho 0.3333 0.6667 0.6940 (multiplicity 2)
As 0.3333 0.6667 0.2033 (multiplicity 2)
P 0.0000 0.0000 0.5000 (multiplicity 1)
Rh 0.0000 0.5000 0.0000 (multiplicity 3)
Rh 0.1435 0.2871 0.2997 (multiplicity 6)

PmU2Ru4 | GGA-PBE | optimized geometry

Computed properties:
Calculated formation energy, eV per atom: -0.05
Raw total energy, eV per formula unit: -64.798

abc: 8.0384 8.0384 4.2128
angles: 90.00 90.00 90.00
Space group P4_2/mnm (No. 136)
One atom of each set of equivalent atoms:
Pm 0.0000 0.0000 0.0000 (multiplicity 2)
U 0.2386 0.2386 0.5000 (multiplicity 4)
Ru 0.1030 0.6558 0.5000 (multiplicity 8)

Y2BeIr2 | GGA-PBE | optimized geometry

Computed properties:
Calculated formation energy, eV per atom: -0.50
Polymorph energy (0 for the lowest one), kJ/mol of formula units: 114.7
Raw total energy, eV per formula unit: -36.852

abc: 6.5154 6.5154 4.4839
angles: 90.00 90.00 90.00
Space group P4/mbm (No. 127)
One atom of each set of equivalent atoms:
Y 0.1740 0.3260 0.0000 (multiplicity 4)
Be 0.0000 0.0000 0.5000 (multiplicity 2)
Ir 0.1422 0.6422 0.5000 (multiplicity 4)

Ca4SBr5 | GGA-PBE | optimized geometry

Computed properties:
Formation energy from raw total energies, eV/atom: -1.904
Raw total energy, eV per formula unit: -39.540

abc: 18.1867 4.1582 8.2223
angles: 90.00 103.75 90.00
Space group C2/m (No. 12)
One atom of each set of equivalent atoms:
Ca 0.0004 0.0000 0.2342 (multiplicity 4)
Ca 0.1595 0.5000 0.0928 (multiplicity 4)
S 0.0000 0.5000 0.0000 (multiplicity 2)
Br 0.0000 0.5000 0.5000 (multiplicity 2)
Br 0.1643 0.0000 0.3372 (multiplicity 4)
Br 0.1690 0.0000 0.8413 (multiplicity 4)

La3Si2N6 | GGA-PBE | optimized geometry

Computed properties:
Formation energy from raw total energies, eV/atom: -1.089
Raw total energy, eV per formula unit: -87.555

abc: 3.7597 3.7597 20.5341
angles: 90.00 90.00 90.00
Space group I4/mmm (No. 139)
One atom of each set of equivalent atoms:
La 0.0000 0.0000 0.0000 (multiplicity 2)
La 0.0000 0.0000 0.1826 (multiplicity 4)
Si 0.0000 0.0000 0.3939 (multiplicity 4)
N 0.0000 0.0000 0.3071 (multiplicity 4)
N 0.0000 0.5000 0.0866 (multiplicity 8)

BaReF2 | GGA-PBE | optimized geometry

Computed properties:
Polymorph energy (0 for the lowest one), kJ/mol of formula units: 101.6
Formation energy from raw total energies, eV/atom: -0.673
Raw total energy, eV per formula unit: -20.804

abc: 6.8798 6.8798 6.8798
angles: 90.00 90.00 90.00
Space group Fm-3m (No. 225)
One atom of each set of equivalent atoms:
Ba 0.0000 0.0000 0.0000 (multiplicity 4)
Re 0.0000 0.0000 0.5000 (multiplicity 4)
F 0.2500 0.2500 0.2500 (multiplicity 8)

NdErTm2P4 | GGA-PBE | optimized geometry

Computed properties:
Calculated formation energy, eV per atom: -1.58
Raw total energy, eV per formula unit: -52.523

abc: 6.9429 4.0125 6.9447
angles: 90.00 109.48 90.00
Space group P2/m (No. 10)
One atom of each set of equivalent atoms:
Nd 0.0000 0.0000 0.0000 (multiplicity 1)
Er 0.0000 0.5000 0.5000 (multiplicity 1)
Tm 0.5000 0.0000 0.5000 (multiplicity 1)
Tm 0.5000 0.5000 0.0000 (multiplicity 1)
P 0.2552 0.0000 0.7464 (multiplicity 2)
P 0.2594 0.5000 0.2586 (multiplicity 2)

NaGe3I | GGA-PBE | optimized geometry

Computed properties:
Polymorph energy (0 for the lowest one), kJ/mol of formula units: 36.7
Formation energy from raw total energies, eV/atom: 0.946
Raw total energy, eV per formula unit: -11.989

abc: 5.2614 5.2614 5.2614
angles: 90.00 90.00 90.00
Space group Pm-3m (No. 221)
One atom of each set of equivalent atoms:
Na 0.0000 0.0000 0.0000 (multiplicity 1)
Ge 0.0000 0.0000 0.5000 (multiplicity 3)
I 0.5000 0.5000 0.5000 (multiplicity 1)

LuTh2Ti | GGA-PBE | optimized geometry

Computed properties:
Calculated formation energy, eV per atom: 0.42
Polymorph energy (0 for the lowest one), kJ/mol of formula units: 115.9
Raw total energy, eV per formula unit: -25.567

abc: 3.3461 3.3461 35.0625
angles: 90.00 90.00 120.00
Space group R-3m (No. 166, hexagonal axes)
One atom of each set of equivalent atoms:
Lu 0.0000 0.0000 0.0000 (multiplicity 3)
Th 0.0000 0.0000 0.4185 (multiplicity 6)
Ti 0.0000 0.0000 0.5000 (multiplicity 3)

Ba3CrSe | GGA-PBE | optimized geometry

Computed properties:
Polymorph energy (0 for the lowest one), kJ/mol of formula units: 0.0
Formation energy from raw total energies, eV/atom: 0.121
Raw total energy, eV per formula unit: -18.271

abc: 5.8706 5.8706 5.8706
angles: 90.00 90.00 90.00
Space group Pm-3m (No. 221)
One atom of each set of equivalent atoms:
Ba 0.0000 0.0000 0.5000 (multiplicity 3)
Cr 0.0000 0.0000 0.0000 (multiplicity 1)
Se 0.5000 0.5000 0.5000 (multiplicity 1)